Entry 1:
CrCu3 | GGA-PBE | optimized geometry

Results
E = -5.223 eV/atom
magnetization = 4.62 Bohr magnetons per cell
energy of formation = 0.26 eV per atom

abc: 5.254 7.502 2.491
angles: 90.00 90.00 90.00
Space group Cmmm (No. 65)
Inequivalent atoms, fractional coordinates:
1 Cr 0.000 0.000 0.000 x2
2 Cu 0.000 0.500 0.000 x2
3 Cu 0.250 0.250 0.500 x4

Entry 2:
Cr4Cu | GGA-PBE | optimized geometry

Results
E above lowest polymorph = 0.000 eV per formula unit
E = -8.284 eV/atom
magnetization = 0.00 Bohr magnetons per cell
energy of formation = 0.23 eV per atom

abc: 6.364 6.364 2.897
angles: 90.00 90.00 90.00
Space group I4/m (No. 87)
Inequivalent atoms, fractional coordinates:
1 Cr 0.112 0.689 0.000 x8
2 Cu 0.000 0.000 0.500 x2

Entry 3:
CrCu | GGA-PBE | optimized geometry

Results
E = -6.515 eV/atom
magnetization = 0.00 Bohr magnetons per cell
energy of formation = 0.34 eV per atom

abc: 2.416 9.830 4.018
angles: 90.00 90.00 90.00
Space group Cmcm (No. 63)
Inequivalent atoms, fractional coordinates:
1 Cr 0.000 0.055 0.250 x4
2 Cu 0.000 0.314 0.250 x4

Entry 4:
Cr3Cu | GGA-PBE | optimized geometry

Results
E = -6.385 eV/atom
magnetization = 13.74 Bohr magnetons per cell
energy of formation = 1.86 eV per atom

abc: 4.819 4.819 4.819
angles: 90.00 90.00 90.00
Space group Pm-3m (No. 221)
Inequivalent atoms, fractional coordinates:
1 Cr 0.000 0.000 0.500 x3
2 Cu 0.000 0.000 0.000 x1

Entry 5:
CrCu | GGA-PBE | optimized geometry

Results
E = -5.840 eV/atom
magnetization = 1.24 Bohr magnetons per cell
energy of formation = 1.02 eV per atom

abc: 3.9203 3.9203 4.2555
angles: 90.00 90.00 120.00
Space group P6_3/mmc (No. 194)
Inequivalent atoms, fractional coordinates:
1 Cr 0.0000 0.0000 0.0000 x2
2 Cu 0.3333 0.6667 0.2500 x2

Entry 6:
CrCu3 | GGA-PBE | optimized geometry

Results
E = -5.206 eV/atom
magnetization = 1.85 Bohr magnetons per cell
energy of formation = 0.27 eV per atom

abc: 2.441 4.235 4.765
angles: 90.00 96.54 90.00
Space group P2/m (No. 10)
Inequivalent atoms, fractional coordinates:
1 Cr 0.000 0.000 0.000 x1
2 Cu 0.303 0.500 0.748 x2
3 Cu 0.500 0.000 0.500 x1

Entry 7:
Cr3Cu | GGA-PBE | optimized geometry

Results
E = -7.963 eV/atom
magnetization = 1.64 Bohr magnetons per cell
energy of formation = 0.28 eV per atom

abc: 2.908 2.908 5.686
angles: 90.00 90.00 90.00
Space group P4/mmm (No. 123)
Inequivalent atoms, fractional coordinates:
1 Cr 0.000 0.000 0.000 x1
2 Cr 0.500 0.500 0.234 x2
3 Cu 0.000 0.000 0.500 x1

Entry 8:
CrCu | GGA-PBE | optimized geometry

Results
E = -6.601 eV/atom
magnetization = 0.00 Bohr magnetons per cell
energy of formation = 0.26 eV per atom

abc: 2.387 4.080 4.851
angles: 90.00 95.36 90.00
Space group P2_1/m (No. 11)
Inequivalent atoms, fractional coordinates:
1 Cr 0.095 0.250 0.378 x2
2 Cu 0.463 0.750 0.128 x2